The following is a DFT calculation (PBE with a Hubbard U) of a geometry-optimized PuPaFe2O8 structure.

The structure belongs to space group I-4m2 (No. 119); the cell edges are 6.931, 6.931 and 6.813 Å and the angles 90.00°, 90.00° and 90.00°. The asymmetric unit holds Pu at (0.000, 0.000, 0.000), Pa at (0.000, 0.500, 0.250), Fe at (0.000, 0.000, 0.500), Fe at (0.000, 0.500, 0.750), O at (0.000, 0.192, 0.305) and O at (0.000, 0.306, 0.946).

Its spin magnetization is 0.583 μB/atom. As for the electronic total energy: -8.592 eV/atom.